# 1
The following is a DFT calculation (GGA-PBE) of a relaxed SrY2Co crystal.

It has space group Fm-3m (No. 225), with a = 7.457 Å, b = 7.457 Å, c = 7.457 Å, α = 90.00°, β = 90.00° and γ = 90.00°. Symmetry generates all atoms from Sr at (0.000, 0.000, 0.000), Y at (0.250, 0.250, 0.250) and Co at (0.000, 0.000, 0.500).

The value obtained for the calculated formation energy is 0.4699 eV/atom. The density of states at the Fermi level is 4.0 states/eV/f.u. As for the polymorph energy (0 for the lowest one): 1.89 eV per formula unit.

# 2
The following is a DFT calculation (GGA-PBE) of a relaxed Rb2NaS crystal.

It has space group I-42d (No. 122), with a = 12.791 Å, b = 12.791 Å, c = 5.300 Å, α = 90.00°, β = 90.00° and γ = 90.00°. Symmetry generates all atoms from Rb at (0.055, 0.250, 0.125), Na at (0.000, 0.000, 0.500) and S at (0.000, 0.000, 0.000).

The density of states at the Fermi level is 2.0 states/eV/f.u. The calculation puts the formation energy without anion corrections at -0.6457 eV/atom.

# 3
The following is a DFT calculation (GGA-PBE) of a relaxed CrPt2Cl crystal.

It has space group Fm-3m (No. 225), with a = 6.362 Å, b = 6.362 Å, c = 6.362 Å, α = 90.00°, β = 90.00° and γ = 90.00°. Symmetry generates all atoms from Cr at (0.000, 0.000, 0.000), Pt at (0.250, 0.250, 0.250) and Cl at (0.000, 0.000, 0.500).

The density of states at the Fermi level is 2.9 states/eV/f.u. As for the polymorph energy (0 for the lowest one): 2.06 eV per formula unit. The calculation puts the formation energy without anion corrections at 0.4964 eV/atom.

# 4
The following is a DFT calculation (GGA-PBE) of a relaxed RbHf2TeS crystal.

It has space group P4/mmm (No. 123), with a = 5.299 Å, b = 5.299 Å, c = 6.606 Å, α = 90.00°, β = 90.00° and γ = 90.00°. Symmetry generates all atoms from Rb at (0.000, 0.000, 0.000), Hf at (0.000, 0.500, 0.500), Te at (0.000, 0.000, 0.500) and S at (0.500, 0.500, 0.000).

The density of states at the Fermi level is 5.5 states/eV/f.u. The calculation puts the formation energy without anion corrections at 0.8808 eV/atom.

# 5
The following is a DFT calculation (GGA-PBE) of a relaxed Rb5BiH crystal.

It has space group C2/c (No. 15), with a = 14.899 Å, b = 9.887 Å, c = 12.234 Å, α = 90.00°, β = 114.97° and γ = 90.00°. Symmetry generates all atoms from Rb at (0.000, 0.059, 0.250), Rb at (0.038, 0.306, 0.979), Rb at (0.233, 0.065, 0.623), Bi at (0.000, 0.426, 0.250) and H at (0.000, 0.000, 0.000).

The density of states at the Fermi level is 2.6 states/eV/f.u. The calculated total energy comes out at -1.88 eV per atom.

# 6
The following is a DFT calculation (GGA-PBE) of a relaxed MgScSb2 crystal.

It has space group R3m (No. 160, hexagonal axes), with a = 4.3553 Å, b = 4.3553 Å, c = 19.3044 Å, α = 90.00°, β = 90.00° and γ = 120.00°. Symmetry generates all atoms from Mg at (0.0000, 0.0000, 0.0000), Sc at (0.0000, 0.0000, 0.1708), Sb at (0.0000, 0.0000, 0.5838) and Sb at (0.0000, 0.0000, 0.7565).

The density of states at the Fermi level is 1.7 states/eV/f.u. The calculation puts the formation energy without anion corrections at -0.5220 eV/atom.

# 7
The following is a DFT calculation (GGA-PBE) of a relaxed Cs2SbClF6 crystal.

It has space group R-3m (No. 166, hexagonal axes), with a = 5.7205 Å, b = 5.7205 Å, c = 50.7850 Å, α = 90.00°, β = 90.00° and γ = 120.00°. Symmetry generates all atoms from Cs at (0.0000, 0.0000, 0.1147), Cs at (0.0000, 0.0000, 0.2809), Sb at (0.0000, 0.0000, 0.0000), Sb at (0.0000, 0.0000, 0.5000), Cl at (0.0000, 0.0000, 0.4166), F at (0.0157, 0.5078, 0.1450) and F at (0.0194, 0.5097, 0.6888).

The density of states at the Fermi level is 0.0 states/eV/f.u. The calculation puts the formation energy without anion corrections at -2.4311 eV/atom.

# 8
The following is a DFT calculation (GGA-PBE) of a relaxed Hf2Ga4Co3 crystal.

It has space group Fmmm (No. 69), with a = 5.066 Å, b = 8.702 Å, c = 12.099 Å, α = 90.00°, β = 90.00° and γ = 90.00°. Symmetry generates all atoms from Hf at (0.000, 0.000, 0.120), Ga at (0.000, 0.164, 0.336), Co at (0.000, 0.000, 0.500) and Co at (0.250, 0.250, 0.000).

The value obtained for the calculated formation energy is -0.3949 eV/atom. The density of states at the Fermi level is 6.7 states/eV/f.u.

Copy entry 2 word for word.
The following is a DFT calculation (GGA-PBE) of a relaxed Rb2NaS crystal.

It has space group I-42d (No. 122), with a = 12.791 Å, b = 12.791 Å, c = 5.300 Å, α = 90.00°, β = 90.00° and γ = 90.00°. Symmetry generates all atoms from Rb at (0.055, 0.250, 0.125), Na at (0.000, 0.000, 0.500) and S at (0.000, 0.000, 0.000).

The density of states at the Fermi level is 2.0 states/eV/f.u. The calculation puts the formation energy without anion corrections at -0.6457 eV/atom.